[1]
A relaxed Ag2BPPd6 crystal, computed with GGA-PBE.

Structure (POSCAR):
```
Ag2BPPd6
1.0
-2.683 -1.851 -4.761
1.381 -5.699 1.510
-4.983 -4.556 -0.273
Pd P Ag B
6 1 2 1
Direct
0.829 0.663 0.990 Pd
0.281 0.761 0.076 Pd
0.216 0.197 0.468 Pd
0.784 0.803 0.532 Pd
0.719 0.239 0.924 Pd
0.171 0.337 0.010 Pd
0.000 0.000 0.000 P
0.657 0.285 0.533 Ag
0.343 0.715 0.467 Ag
0.500 0.500 0.000 B
```

Summary:
VASP energy ... -5.11 eV/atom
Energy relative to the elements ... -0.218 eV per atom
Space group ... P-1 (2)

[2]
A relaxed RbAgBP2 crystal, computed with GGA-PBE.

Structure (POSCAR):
```
RbAgBP2
1.0
-3.011 0.813 3.701
-4.600 -1.469 -3.418
0.449 -4.617 1.380
B P Ag Rb
1 2 1 1
Direct
0.500 0.500 0.500 B
0.000 0.000 0.500 P
0.500 0.000 0.000 P
0.000 0.000 0.000 Ag
0.000 0.500 0.000 Rb
```

Summary:
VASP energy ... -2.74 eV/atom
Energy relative to the elements ... 1.526 eV per atom
Space group ... P4/mmm (123)

[3]
A relaxed AgBP2S crystal, computed with GGA-PBE.

Structure (POSCAR):
```
AgBP2S
1.0
-0.190 -1.128 3.858
3.817 -1.259 -0.180
1.481 4.297 1.329
P S Ag B
2 1 1 1
Direct
0.000 0.500 0.000 P
0.500 0.000 0.000 P
0.000 0.000 0.500 S
0.500 0.500 0.500 Ag
0.000 0.000 0.000 B
```

Summary:
VASP energy ... -4.03 eV/atom
Formation energy (no corrections) ... 0.86 eV per atom
Space group ... P4/mmm (123)

[4]
A relaxed AgBP2S crystal, computed with GGA-PBE.

Structure (POSCAR):
```
AgBP2S
1.0
-3.183 1.193 -2.165
-2.668 -3.407 2.046
-1.031 2.567 2.931
S Ag B P
1 1 1 2
Direct
0.500 0.500 0.500 S
0.000 0.500 0.000 Ag
0.000 0.000 0.000 B
0.500 0.000 0.000 P
0.000 0.000 0.500 P
```

Summary:
VASP energy ... -4.02 eV/atom
Formation energy (no corrections) ... 0.88 eV per atom
Space group ... P4/mmm (123)

[5]
A relaxed AgBP2S crystal, computed with GGA-PBE.

Structure (POSCAR):
```
AgBP2S
1.0
4.785 0.000 0.000
0.000 4.785 0.000
0.000 0.000 4.948
Ag B P S
1 1 2 1
Direct
0.000 0.000 0.000 Ag
0.500 0.500 0.500 B
0.000 0.500 0.000 P
0.500 0.000 0.000 P
0.000 0.000 0.500 S
```

Summary:
VASP energy ... -2.93 eV/atom
Formation energy (no corrections) ... 1.96 eV per atom
Space group ... P4/mmm (123)

[6]
A relaxed AgBP2S crystal, computed with GGA-PBE.

Structure (POSCAR):
```
AgBP2S
1.0
-0.035 2.820 3.695
-3.689 -0.133 0.067
0.185 -3.691 2.819
P B S Ag
2 1 1 1
Direct
0.000 0.000 0.500 P
0.500 0.000 0.000 P
0.000 0.500 0.000 B
0.000 0.000 0.000 S
0.500 0.500 0.500 Ag
```

Summary:
VASP energy ... -3.77 eV/atom
Formation energy (no corrections) ... 1.13 eV per atom
Space group ... P4/mmm (123)

[7]
A relaxed AgBPW2 crystal, computed with GGA-PBE.

Structure (POSCAR):
```
AgBPW2
1.0
-4.015 -0.083 -1.471
-0.456 -3.797 1.460
-1.394 1.596 3.715
Ag W P B
1 2 1 1
Direct
0.000 0.500 0.000 Ag
0.500 0.000 0.000 W
0.000 0.000 0.500 W
0.500 0.500 0.500 P
0.000 0.000 0.000 B
```

Summary:
VASP energy ... -7.30 eV/atom
Energy relative to the elements ... 0.873 eV per atom
Space group ... P4/mmm (123)

[8]
A relaxed Y2AgBP crystal, computed with GGA-PBE.

Structure (POSCAR):
```
Y2AgBP
1.0
-0.237 -5.383 1.023
4.010 0.163 1.784
-2.225 1.030 4.906
P B Ag Y
1 1 1 2
Direct
0.000 0.500 0.000 P
0.500 0.500 0.500 B
0.000 0.000 0.000 Ag
0.000 0.000 0.500 Y
0.500 0.000 0.000 Y
```

Summary:
VASP energy ... -4.57 eV/atom
Energy relative to the elements ... 1.000 eV per atom
Space group ... P4/mmm (123)

[9]
A relaxed Pa2AgB crystal, computed with GGA-PBE.

Structure (POSCAR):
```
Pa2AgB
1.0
-2.010 2.499 -0.740
-0.717 0.660 -3.144
-8.232 -4.699 -0.831
B Pa Ag
1 2 1
Direct
0.500 0.500 0.500 B
0.889 0.889 0.334 Pa
0.111 0.111 0.666 Pa
0.000 0.000 0.000 Ag
```

Summary:
VASP energy ... -6.90 eV/atom
Energy relative to the elements ... 0.230 eV per atom
Space group ... R-3m (166)

[10]
A relaxed AgBPb crystal, computed with GGA-PBE.

Structure (POSCAR):
```
AgBPb
1.0
3.059 0.000 0.000
0.000 3.059 0.000
0.000 0.000 11.715
Ag Pb B
2 2 2
Direct
0.000 0.500 0.418 Ag
0.500 0.000 0.582 Ag
0.000 0.500 0.795 Pb
0.500 0.000 0.205 Pb
0.500 0.500 0.000 B
0.000 0.000 0.000 B
```

Summary:
VASP energy ... -3.61 eV/atom
Energy relative to the elements ... 0.801 eV per atom
Space group ... P4/nmm (129)

[11]
A relaxed AgBPb crystal, computed with GGA-PBE.

Structure (POSCAR):
```
AgBPb
1.0
-3.713 -6.894 -9.543
-0.224 -2.543 1.924
-5.791 1.432 1.219
B Ag Pb
4 4 4
Direct
0.000 0.000 0.000 B
0.500 0.000 0.500 B
0.000 0.500 0.000 B
0.500 0.500 0.500 B
0.426 0.750 0.851 Ag
0.574 0.250 0.149 Ag
0.926 0.750 0.649 Ag
0.074 0.250 0.351 Ag
0.681 0.750 0.768 Pb
0.819 0.250 0.268 Pb
0.319 0.250 0.232 Pb
0.181 0.750 0.732 Pb
```

Summary:
VASP energy ... -4.04 eV/atom
Energy relative to the elements ... 0.376 eV per atom
Space group ... Pnma (62)

[12]
A relaxed AgBPb crystal, computed with GGA-PBE.

Structure (POSCAR):
```
AgBPb
1.0
-3.826 0.016 -5.704
0.357 -3.477 -0.249
-8.326 -1.255 5.581
Pb B Ag
4 4 4
Direct
0.555 0.750 0.667 Pb
0.055 0.750 0.833 Pb
0.445 0.250 0.333 Pb
0.945 0.250 0.167 Pb
0.433 0.750 0.149 B
0.067 0.250 0.649 B
0.933 0.750 0.351 B
0.567 0.250 0.851 B
0.835 0.250 0.479 Ag
0.165 0.750 0.521 Ag
0.665 0.750 0.979 Ag
0.335 0.250 0.021 Ag
```

Summary:
VASP energy ... -3.49 eV/atom
Energy relative to the elements ... 0.927 eV per atom
Space group ... Pnma (62)